(1)
## Y2AlOs (PBE-GGA)

Data for a relaxed Y2AlOs crystal.

The structure in POSCAR format:
```
Y2AlOs
1.0
0.000 3.424 3.424
3.424 0.000 3.424
3.424 3.424 0.000
Y Al Os
2 1 1
Direct
0.000 0.000 0.000
0.250 0.250 0.250
0.500 0.500 0.500
0.750 0.750 0.750
```

Computed properties:
Energy: -28.3 eV for the cell shown
SG: No. 216



(2)
## SrTh (PBE-GGA)

Data for a relaxed SrTh crystal.

The structure in POSCAR format:
```
SrTh
1.0
0.000 3.475 3.475
3.475 0.000 3.475
3.475 3.475 0.000
Sr Th
1 1
Direct
0.000 0.000 0.000
0.500 0.500 0.500
```

Computed properties:
Energy above the most stable polymorph in this dataset: 2.03 eV/f.u.
SG: No. 225



(3)
## LiZrAlPt (PBE-GGA)

Data for a relaxed LiZrAlPt crystal.

The structure in POSCAR format:
```
LiZrAlPt
1.0
0.000 3.177 3.177
3.177 0.000 3.177
3.177 3.177 0.000
Li Zr Al Pt
1 1 1 1
Direct
0.000 0.000 0.000
0.750 0.750 0.750
0.250 0.250 0.250
0.500 0.500 0.500
```

Computed properties:
Energy above the most stable polymorph in this dataset: 0.00 eV/f.u.
SG: No. 216



(4)
## Er2ScAl3AgGe2 (PBE-GGA)

Data for a relaxed Er2ScAl3AgGe2 crystal.

The structure in POSCAR format:
```
Er2ScAl3AgGe2
1.0
4.213 0.000 0.000
0.000 5.979 3.491
0.000 -5.979 3.491
Er Sc Al Ag Ge
2 1 3 1 2
Direct
0.000 0.208 0.792
0.000 0.792 0.208
0.000 0.625 0.625
0.500 0.210 0.452
0.500 0.452 0.210
0.500 0.969 0.969
0.000 0.220 0.220
0.500 0.545 0.870
0.500 0.870 0.545
```

Computed properties:
Energy: -44.0 eV for the cell shown
SG: No. 38



(5)
## Li8Tb4O11 (PBE-GGA)

Data for a relaxed Li8Tb4O11 crystal.

The structure in POSCAR format:
```
Li8Tb4O11
1.0
5.113 0.000 0.000
-0.726 5.828 0.000
-2.232 -1.740 8.904
Li Tb O
8 4 11
Direct
0.000 0.000 0.000
0.002 0.954 0.313
0.051 0.547 0.181
0.181 0.211 0.825
0.488 0.780 0.364
0.767 0.306 0.897
0.922 0.970 0.559
0.967 0.566 0.424
0.412 0.669 0.015
0.495 0.227 0.193
0.511 0.826 0.715
0.525 0.286 0.558
0.146 0.346 0.025
0.180 0.880 0.842
0.214 0.875 0.167
0.253 0.925 0.515
0.259 0.414 0.357
0.476 0.470 0.793
0.627 0.026 0.987
0.710 0.648 0.541
0.714 0.594 0.213
0.742 0.126 0.393
0.808 0.132 0.717
```

Computed properties:
Energy above the most stable polymorph in this dataset: 0.00 eV/f.u.
SG: No. 1



(6)
## AgBiPF (PBE-GGA)

Data for a relaxed AgBiPF crystal.

The structure in POSCAR format:
```
AgBiPF
1.0
6.538 0.000 0.000
0.000 7.247 0.000
0.000 0.000 7.389
Ag Bi P F
4 4 4 4
Direct
0.032 0.111 0.192
0.468 0.889 0.692
0.532 0.389 0.808
0.968 0.611 0.308
0.047 0.077 0.629
0.453 0.923 0.129
0.547 0.423 0.371
0.953 0.577 0.871
0.153 0.341 0.403
0.347 0.659 0.903
0.653 0.159 0.597
0.847 0.841 0.097
0.119 0.236 0.882
0.381 0.764 0.382
0.619 0.264 0.118
0.881 0.736 0.618
```

Computed properties:
Energy above the most stable polymorph in this dataset: 0.32 eV/f.u.
SG: No. 19



(7)
## BeZnCuGe (PBE-GGA)

Data for a relaxed BeZnCuGe crystal.

The structure in POSCAR format:
```
BeZnCuGe
1.0
0.000 3.002 3.002
3.002 0.000 3.002
3.002 3.002 0.000
Be Zn Cu Ge
1 1 1 1
Direct
0.000 0.000 0.000
0.250 0.250 0.250
0.500 0.500 0.500
0.750 0.750 0.750
```

Computed properties:
Energy above the most stable polymorph in this dataset: 0.00 eV/f.u.
SG: No. 216



(8)
## LaCu4Re (PBE-GGA)

Data for a relaxed LaCu4Re crystal.

The structure in POSCAR format:
```
LaCu4Re
1.0
3.640 -3.763 0.000
3.640 3.763 0.000
0.000 0.000 4.709
La Cu Re
1 4 1
Direct
0.000 0.000 0.000
0.174 0.174 0.500
0.351 0.649 0.000
0.649 0.351 0.000
0.826 0.826 0.500
0.500 0.500 0.500
```

Computed properties:
ΔE_f: 1.179 eV per atom
SG: No. 65